This record from Alexandria describes TmScAg after structural relaxation. The functional is PBE.

Values from the calculation:
- space-group type = R-3m, No. 166
- energy of formation from the pure elements (eV per atom) = 0.07
- Fermi-level density of states (states/eV per cell) = 7.64
- VASP energy (eV per formula unit) = -13.44
- magnetic moment (μB per formula unit) = 0.00
- energy above the most stable polymorph in this dataset (meV per atom) = 230.8

Lattice parameters (Å, degrees): 8.3482 8.3482 8.3482 33.76 33.76 33.76
Closest atoms and distances in Å follow each position.
Element x y z (fractional)
Tm 0.1221 0.1221 0.1221  4 Ag 2.96-3.07
Tm 0.8779 0.8779 0.8779  4 Ag 2.96-3.07
Sc 0.3724 0.3724 0.3724  4 Ag 2.84-2.97
Sc 0.6276 0.6276 0.6276  4 Ag 2.84-2.97
Ag 0.2521 0.2521 0.2521  4 Sc 2.84-2.97, 4 Tm 2.96-3.07
Ag 0.7479 0.7479 0.7479  4 Sc 2.84-2.97, 4 Tm 2.96-3.07